No. 1
## K2CeCrSe4 (PBE)

Data for crystalline K2CeCrSe4 at its relaxed geometry.

abc: 6.994 4.165 8.028
angles: 90.00 107.55 90.00
Fractional positions:
K 0.000 0.000 0.000
K 0.500 0.500 0.000
Ce 0.000 0.500 0.500
Cr 0.500 0.000 0.500
Se 0.258 0.000 0.703
Se 0.292 0.500 0.311
Se 0.708 0.500 0.689
Se 0.742 0.000 0.297

- calculated density (g/cm3) = 4.37
- ΔE_f (raw) (kcal/mol of atoms) = -27.784
- total energy (eV per atom) = -5.166
- space-group type = No. 10



No. 2
## LaCe2CrN4 (PBE)

Data for crystalline LaCe2CrN4 at its relaxed geometry.

abc: 6.161 6.161 11.955
angles: 90.00 90.00 147.21
Fractional positions:
La 0.094 0.906 0.750
La 0.906 0.094 0.250
Ce 0.368 0.632 0.548
Ce 0.368 0.632 0.952
Ce 0.632 0.368 0.048
Ce 0.632 0.368 0.452
Cr 0.169 0.831 0.250
Cr 0.831 0.169 0.750
N 0.000 0.000 0.000
N 0.000 0.000 0.500
N 0.265 0.735 0.128
N 0.265 0.735 0.372
N 0.423 0.577 0.750
N 0.577 0.423 0.250
N 0.735 0.265 0.628
N 0.735 0.265 0.872

- calculated density (g/cm3) = 7.12
- ΔE_f (raw) (kcal/mol of atoms) = -27.298
- total energy (eV per atom) = -8.649
- space-group type = No. 63



No. 3
## La2CeCr2N6 (PBE)

Data for crystalline La2CeCr2N6 at its relaxed geometry.

abc: 6.861 6.861 6.861
angles: 49.12 49.12 49.12
Fractional positions:
La 0.209 0.209 0.209
La 0.791 0.791 0.791
Ce 0.000 0.000 0.000
Cr 0.406 0.406 0.406
Cr 0.594 0.594 0.594
N 0.236 0.740 0.740
N 0.260 0.260 0.764
N 0.260 0.764 0.260
N 0.740 0.236 0.740
N 0.740 0.740 0.236
N 0.764 0.260 0.260

- calculated density (g/cm3) = 5.93
- ΔE_f (raw) (kcal/mol of atoms) = -20.963
- total energy (eV per atom) = -8.635
- space-group type = No. 166



No. 4
## La4Ce3CrN8 (PBE)

Data for crystalline La4Ce3CrN8 at its relaxed geometry.

abc: 7.194 7.194 7.194
angles: 59.38 59.38 59.38
Fractional positions:
La 0.000 0.000 0.000
La 0.000 0.500 0.500
La 0.500 0.000 0.500
La 0.500 0.500 0.000
Ce 0.000 0.000 0.500
Ce 0.000 0.500 0.000
Ce 0.500 0.000 0.000
Cr 0.500 0.500 0.500
N 0.241 0.241 0.241
N 0.250 0.735 0.735
N 0.265 0.265 0.750
N 0.265 0.750 0.265
N 0.735 0.250 0.735
N 0.735 0.735 0.250
N 0.750 0.265 0.265
N 0.759 0.759 0.759

- calculated density (g/cm3) = 7.29
- ΔE_f (raw) (kcal/mol of atoms) = -26.909
- total energy (eV per atom) = -8.276
- space-group type = No. 166



No. 5
## LaCeCrN4 (PBE)

Data for crystalline LaCeCrN4 at its relaxed geometry.

abc: 5.720 5.536 7.042
angles: 90.00 108.85 90.00
Fractional positions:
La 0.214 0.250 0.432
La 0.786 0.750 0.568
Ce 0.289 0.250 0.964
Ce 0.711 0.750 0.036
Cr 0.263 0.750 0.197
Cr 0.737 0.250 0.803
N 0.060 0.750 0.341
N 0.094 0.750 0.943
N 0.462 0.503 0.251
N 0.462 0.997 0.251
N 0.538 0.003 0.749
N 0.538 0.497 0.749
N 0.906 0.250 0.057
N 0.940 0.250 0.659

- calculated density (g/cm3) = 6.09
- ΔE_f (raw) (kcal/mol of atoms) = -25.364
- total energy (eV per atom) = -8.784
- space-group type = No. 11



No. 6
## LaCe2Cr2N6 (PBE)

Data for crystalline LaCe2Cr2N6 at its relaxed geometry.

abc: 7.122 7.122 7.122
angles: 46.00 46.00 46.00
Fractional positions:
La 0.000 0.000 0.000
Ce 0.203 0.203 0.203
Ce 0.797 0.797 0.797
Cr 0.408 0.408 0.408
Cr 0.592 0.592 0.592
N 0.229 0.732 0.732
N 0.268 0.268 0.771
N 0.268 0.771 0.268
N 0.732 0.229 0.732
N 0.732 0.732 0.229
N 0.771 0.268 0.268

- calculated density (g/cm3) = 5.91
- ΔE_f (raw) (kcal/mol of atoms) = -18.762
- total energy (eV per atom) = -8.631
- space-group type = No. 166



No. 7
## LiCeLuCr (PBE)

Data for crystalline LiCeLuCr at its relaxed geometry.

abc: 5.012 5.012 5.012
angles: 60.00 60.00 60.00
Fractional positions:
Li 0.000 0.000 0.000
Ce 0.750 0.750 0.750
Lu 0.250 0.250 0.250
Cr 0.500 0.500 0.500

- calculated density (g/cm3) = 6.98
- total energy (eV per atom) = -5.268
- DFT formation energy (meV per atom) = 230
- space-group type = No. 216



No. 8
## Li2CeCr2N4 (PBE)

Data for crystalline Li2CeCr2N4 at its relaxed geometry.

abc: 5.343 5.343 8.056
angles: 119.37 119.37 35.16
Fractional positions:
Li 0.133 0.133 0.222
Li 0.867 0.867 0.778
Ce 0.000 0.000 0.500
Cr 0.346 0.346 0.115
Cr 0.654 0.654 0.885
N 0.229 0.229 0.834
N 0.461 0.461 0.687
N 0.539 0.539 0.313
N 0.771 0.771 0.166

- calculated density (g/cm3) = 4.59
- ΔE_f (raw) (kcal/mol of atoms) = -16.352
- total energy (eV per atom) = -7.632
- space-group type = No. 12



No. 9
## LiCeCrN3 (PBE)

Data for crystalline LiCeCrN3 at its relaxed geometry.

abc: 5.569 3.308 7.781
angles: 90.00 108.26 90.00
Fractional positions:
Li 0.105 0.250 0.416
Li 0.895 0.750 0.584
Ce 0.482 0.750 0.762
Ce 0.518 0.250 0.238
Cr 0.035 0.250 0.870
Cr 0.965 0.750 0.130
N 0.185 0.250 0.684
N 0.200 0.750 0.967
N 0.281 0.750 0.320
N 0.719 0.250 0.680
N 0.800 0.250 0.033
N 0.815 0.750 0.316

- calculated density (g/cm3) = 5.88
- ΔE_f (raw) (kcal/mol of atoms) = -18.988
- total energy (eV per atom) = -7.898
- space-group type = No. 11



No. 10
## LiCe2Cr2N6 (PBE)

Data for crystalline LiCe2Cr2N6 at its relaxed geometry.

abc: 6.355 6.355 6.355
angles: 53.07 53.07 53.07
Fractional positions:
Li 0.000 0.000 0.000
Ce 0.203 0.203 0.203
Ce 0.797 0.797 0.797
Cr 0.424 0.424 0.424
Cr 0.576 0.576 0.576
N 0.229 0.745 0.745
N 0.255 0.255 0.771
N 0.255 0.771 0.255
N 0.745 0.229 0.745
N 0.745 0.745 0.229
N 0.771 0.255 0.255

- calculated density (g/cm3) = 5.19
- ΔE_f (raw) (kcal/mol of atoms) = -12.673
- total energy (eV per atom) = -8.093
- space-group type = No. 166